# 1
Material: LaCd2GaPt
Method: DFT, PBE
State: optimized geometry

Magnetic moment ... 0.0 μB per cell
E ... -3.765 eV per atom
Calculated density ... 9.2 g/cm3

```
data_LaCd2GaPt
_space_group_name_H-M_alt 'I 4 m m'
_space_group_IT_number 107
_space_group_name_Hall 'I 4 -2'
_cell_length_a 4.261
_cell_length_b 4.261
_cell_length_c 12.520
_cell_angle_alpha 90.00
_cell_angle_beta 90.00
_cell_angle_gamma 90.00
loop_
_atom_site_label
_atom_site_fract_x
_atom_site_fract_y
_atom_site_fract_z
_atom_site_occupancy
La1 0.000 0.000 0.000 1
Cd1 0.000 0.500 0.241 1
Ga1 0.000 0.000 0.387 1
Pt1 0.000 0.000 0.585 1
```

---

# 2
Material: YZnBi2
Method: DFT, PBE
State: optimized geometry

Magnetic moment ... 0.0 μB per cell
E ... -4.068 eV per atom
Calculated density ... 8.5 g/cm3

```
data_YZnBi2
_space_group_name_H-M_alt 'F -4 3 m'
_space_group_IT_number 216
_space_group_name_Hall 'F -4 2 3'
_cell_length_a 7.637
_cell_length_b 7.637
_cell_length_c 7.637
_cell_angle_alpha 90.00
_cell_angle_beta 90.00
_cell_angle_gamma 90.00
loop_
_atom_site_label
_atom_site_fract_x
_atom_site_fract_y
_atom_site_fract_z
_atom_site_occupancy
Y1 0.000 0.000 0.000 1
Zn1 0.250 0.250 0.250 1
Bi1 0.000 0.000 0.500 1
Bi2 0.250 0.250 0.750 1
```

---

# 3
Material: KSnPtO
Method: DFT, PBE
State: optimized geometry

Magnetic moment ... 0.0 μB per cell
E ... -4.481 eV per atom
Calculated density ... 6.1 g/cm3
Energy above the lowest structure with this stoichiometry ... 0 kJ/mol of formula units

```
data_KSnPtO
_space_group_name_H-M_alt 'C m c 21'
_space_group_IT_number 36
_space_group_name_Hall 'C 2c -2'
_cell_length_a 3.991
_cell_length_b 13.174
_cell_length_c 7.660
_cell_angle_alpha 90.00
_cell_angle_beta 90.00
_cell_angle_gamma 90.00
loop_
_atom_site_label
_atom_site_fract_x
_atom_site_fract_y
_atom_site_fract_z
_atom_site_occupancy
K1 0.000 0.094 0.000 1
Sn1 0.000 0.370 0.897 1
Pt1 0.000 0.226 0.658 1
O1 0.000 0.304 0.151 1
```

---

# 4
Material: CsTmCo
Method: DFT, PBE
State: optimized geometry

Magnetic moment ... 1.5 μB per cell
E ... -2.721 eV per atom
Calculated density ... 6.7 g/cm3

```
data_CsTmCo
_space_group_name_H-M_alt 'F -4 3 m'
_space_group_IT_number 216
_space_group_name_Hall 'F -4 2 3'
_cell_length_a 7.083
_cell_length_b 7.083
_cell_length_c 7.083
_cell_angle_alpha 90.00
_cell_angle_beta 90.00
_cell_angle_gamma 90.00
loop_
_atom_site_label
_atom_site_fract_x
_atom_site_fract_y
_atom_site_fract_z
_atom_site_occupancy
Cs1 0.000 0.000 0.000 1
Tm1 0.250 0.250 0.750 1
Co1 0.000 0.000 0.500 1
```

---

# 5
Material: LuAlNiW
Method: DFT, PBE
State: optimized geometry

Magnetic moment ... 10.4 μB per cell
E ... -6.236 eV per atom
Calculated density ... 10.8 g/cm3

```
data_LuAlNiW
_space_group_name_H-M_alt 'F -4 3 m'
_space_group_IT_number 216
_space_group_name_Hall 'F -4 2 3'
_cell_length_a 6.496
_cell_length_b 6.496
_cell_length_c 6.496
_cell_angle_alpha 90.00
_cell_angle_beta 90.00
_cell_angle_gamma 90.00
loop_
_atom_site_label
_atom_site_fract_x
_atom_site_fract_y
_atom_site_fract_z
_atom_site_occupancy
Lu1 0.000 0.000 0.000 1
Al1 0.250 0.250 0.250 1
Ni1 0.000 0.000 0.500 1
W1 0.250 0.250 0.750 1
```

---

# 6
Material: TaCdInFe
Method: DFT, PBE
State: optimized geometry

Magnetic moment ... 3.3 μB per cell
E ... -5.529 eV per atom
Calculated density ... 11.1 g/cm3
Energy above the lowest structure with this stoichiometry ... 0 kJ/mol of formula units

```
data_TaCdInFe
_space_group_name_H-M_alt 'F -4 3 m'
_space_group_IT_number 216
_space_group_name_Hall 'F -4 2 3'
_cell_length_a 6.528
_cell_length_b 6.528
_cell_length_c 6.528
_cell_angle_alpha 90.00
_cell_angle_beta 90.00
_cell_angle_gamma 90.00
loop_
_atom_site_label
_atom_site_fract_x
_atom_site_fract_y
_atom_site_fract_z
_atom_site_occupancy
Ta1 0.000 0.000 0.000 1
Cd1 0.250 0.250 0.250 1
In1 0.000 0.000 0.500 1
Fe1 0.250 0.250 0.750 1
```

---

# 7
Material: Er2FeCoGe2C
Method: DFT, PBE
State: optimized geometry

Magnetic moment ... 0.0 μB per cell
E ... -6.767 eV per atom
Calculated density ... 9.1 g/cm3

```
data_Er2FeCoGe2C
_space_group_name_H-M_alt 'C 1 m 1'
_space_group_IT_number 8
_space_group_name_Hall 'C -2y'
_cell_length_a 10.612
_cell_length_b 3.898
_cell_length_c 6.781
_cell_angle_alpha 90.00
_cell_angle_beta 127.85
_cell_angle_gamma 90.00
loop_
_atom_site_label
_atom_site_fract_x
_atom_site_fract_y
_atom_site_fract_z
_atom_site_occupancy
Er1 0.000 0.000 0.000 1
Er2 0.116 0.000 0.577 1
Fe1 0.252 0.500 0.370 1
Co1 0.363 0.000 0.204 1
Ge1 0.219 0.500 0.990 1
Ge2 0.397 0.000 0.587 1
C1 0.060 0.500 0.291 1
```

---

# 8
Material: Ba2Tm2Sb3
Method: DFT, PBE
State: optimized geometry

Magnetic moment ... 0.9 μB per cell
E ... -4.490 eV per atom
Calculated density ... 6.0 g/cm3

```
data_Ba2Tm2Sb3
_space_group_name_H-M_alt 'C 1 2/m 1'
_space_group_IT_number 12
_space_group_name_Hall '-C 2y'
_cell_length_a 18.658
_cell_length_b 4.881
_cell_length_c 14.387
_cell_angle_alpha 90.00
_cell_angle_beta 124.72
_cell_angle_gamma 90.00
loop_
_atom_site_label
_atom_site_fract_x
_atom_site_fract_y
_atom_site_fract_z
_atom_site_occupancy
Ba1 0.101 0.000 0.469 1
Ba2 0.230 0.000 0.836 1
Tm1 0.042 0.500 0.819 1
Tm2 0.091 0.000 0.162 1
Sb1 0.085 0.500 0.653 1
Sb2 0.114 0.000 0.971 1
Sb3 0.156 0.500 0.313 1
```

---

# 9
Material: Er3Co2Ge4
Method: DFT, PBE
State: optimized geometry

Magnetic moment ... 0.0 μB per cell
E ... -5.869 eV per atom
Calculated density ... 9.2 g/cm3

```
data_Er3Co2Ge4
_space_group_name_H-M_alt 'C 1 2/m 1'
_space_group_IT_number 12
_space_group_name_Hall '-C 2y'
_cell_length_a 10.505
_cell_length_b 4.143
_cell_length_c 7.952
_cell_angle_alpha 90.00
_cell_angle_beta 107.69
_cell_angle_gamma 90.00
loop_
_atom_site_label
_atom_site_fract_x
_atom_site_fract_y
_atom_site_fract_z
_atom_site_occupancy
Er1 0.000 0.000 0.000 1
Er2 0.123 0.500 0.693 1
Co1 0.191 0.500 0.371 1
Ge1 0.096 0.000 0.400 1
Ge2 0.210 0.500 0.080 1
```

---

# 10
Material: ZrBe2Au2
Method: DFT, PBE
State: optimized geometry

Magnetic moment ... 0.0 μB per cell
E ... -4.745 eV per atom
Calculated density ... 10.7 g/cm3

```
data_ZrBe2Au2
_space_group_name_H-M_alt 'I 4/m m m'
_space_group_IT_number 139
_space_group_name_Hall '-I 4 2'
_cell_length_a 4.079
_cell_length_b 4.079
_cell_length_c 9.349
_cell_angle_alpha 90.00
_cell_angle_beta 90.00
_cell_angle_gamma 90.00
loop_
_atom_site_label
_atom_site_fract_x
_atom_site_fract_y
_atom_site_fract_z
_atom_site_occupancy
Zr1 0.000 0.000 0.000 1
Be1 0.000 0.500 0.250 1
Au1 0.000 0.000 0.361 1
```

---

Among the records above, which one has the lowest calculated density? Ba2Tm2Sb3

---

Look up the magnetic moment of the second one. 0.0 μB per cell